12
Lattice="5.076 0.000 0.269 0.000 7.376 0.000 -0.580 -3.688 8.104" Properties=species:S:1:pos:R:3 comment="Te2MoPb3F6 (PBE+U, optimized geometry)" crystal_system=monoclinic dft_energy_ev_per_atom=-4.65 volume_a3_per_cell=305 pbc="T T T"
F 2.392 3.688 6.197
F 3.792 1.472 0.550
F 2.104 0.000 2.176
F 0.705 -2.216 7.823
F 0.705 2.216 7.823
F 3.792 5.904 0.550
Mo 2.538 0.000 0.135
Te -0.212 3.688 3.136
Te 4.708 0.000 5.237
Pb 2.248 -1.844 4.187
Pb 2.248 1.844 4.187
Pb 0.000 3.688 0.000